Record 1
{"formula": "LaZr2GeRu", "functional": "GGA-PBE", "state": "optimized geometry", "delta_e_f_ev_per_atom": 1.879, "lattice": [[5.126, 0.000, 0.000], [0.000, 5.178, 0.000], [0.000, 0.000, 5.126]], "species": ["La", "Zr", "Ge", "Ru", "Zr"], "frac_coords": [[0.000, 0.000, 0.000], [0.500, 0.000, 0.000], [0.000, 0.500, 0.000], [0.500, 0.500, 0.500], [0.000, 0.000, 0.500]]}

Record 2
{"formula": "Ga3CuPd12", "functional": "GGA-PBE", "state": "optimized geometry", "delta_e_f_ev_per_atom": -0.344, "lattice": [[3.949, 0.000, 0.000], [0.000, 3.949, 0.000], [0.000, 0.000, 15.442]], "species": ["Cu", "Pd", "Pd", "Pd", "Pd", "Pd", "Ga", "Ga", "Pd", "Pd", "Ga", "Pd", "Pd", "Pd", "Pd", "Pd"], "frac_coords": [[0.000, 0.000, 0.000], [0.500, 0.500, 0.752], [0.000, 0.500, 0.123], [0.500, 0.500, 0.500], [0.000, 0.500, 0.626], [0.500, 0.500, 0.000], [0.000, 0.000, 0.249], [0.000, 0.000, 0.751], [0.500, 0.000, 0.123], [0.500, 0.000, 0.374], [0.000, 0.000, 0.500], [0.000, 0.500, 0.877], [0.500, 0.000, 0.626], [0.000, 0.500, 0.374], [0.500, 0.500, 0.248], [0.500, 0.000, 0.877]]}

Record 3
{"formula": "Nd8GePb5", "functional": "GGA-PBE", "state": "optimized geometry", "delta_e_f_ev_per_atom": -0.610, "lattice": [[-3.911, 6.562, -3.356], [-4.320, -2.772, 6.578], [7.638, 2.312, 2.437]], "species": ["Nd", "Nd", "Pb", "Nd", "Nd", "Nd", "Pb", "Pb", "Pb", "Nd", "Ge", "Nd", "Nd", "Pb"], "frac_coords": [[0.611, 0.874, 0.872], [0.127, 0.747, 0.518], [0.377, 0.127, 0.005], [0.620, 0.391, 0.873], [0.770, 0.253, 0.380], [0.482, 0.609, 0.230], [0.750, 0.629, 0.623], [0.995, 0.371, 0.122], [0.878, 0.873, 0.250], [0.263, 0.260, 0.389], [0.250, 0.500, 0.750], [0.128, 0.740, 0.002], [0.998, 0.126, 0.737], [0.500, 0.000, 0.500]]}

Record 4
{"formula": "MoAs2Au", "functional": "GGA-PBE", "state": "optimized geometry", "delta_e_f_ev_per_atom": 0.033, "polymorph_energy_mev_per_atom": 0.0, "lattice": [[-2.463, -1.644, -1.470], [2.185, -2.114, -1.295], [-0.562, -3.676, 5.052]], "species": ["Mo", "As", "Au", "As"], "frac_coords": [[0.500, 0.500, 0.750], [0.000, 0.000, 0.530], [0.500, 0.500, 0.250], [0.000, 0.000, 0.970]]}

Record 5
{"formula": "AlZnSi2", "functional": "GGA-PBE", "state": "optimized geometry", "e_form_raw_ev_per_atom": 0.340, "polymorph_energy_mev_per_atom": 119.6, "lattice": [[-0.632, -1.729, -4.078], [-3.840, -2.076, -0.979], [-2.918, 1.902, -2.809]], "species": ["Al", "Si", "Si", "Zn"], "frac_coords": [[0.500, 0.500, 0.500], [0.250, 0.250, 0.250], [0.000, 0.000, 0.000], [0.750, 0.750, 0.750]]}

Record 6
{"formula": "Ag2Te2Se", "functional": "GGA-PBE", "state": "optimized geometry", "e_form_raw_ev_per_atom": 0.233, "polymorph_energy_mev_per_atom": 215.4, "lattice": [[-2.031, -1.411, -3.160], [2.871, -2.733, -0.626], [-3.243, -6.959, 2.644]], "species": ["Ag", "Se", "Ag", "Te", "Te"], "frac_coords": [[0.750, 0.250, 0.500], [0.000, 0.000, 0.000], [0.250, 0.750, 0.500], [0.390, 0.390, 0.220], [0.610, 0.610, 0.780]]}

Record 7
{"formula": "Tb5Y5Er", "functional": "GGA-PBE", "state": "optimized geometry", "delta_e_f_ev_per_atom": 0.143, "polymorph_energy_mev_per_atom": 0.0, "lattice": [[-5.781, 3.576, 0.769], [-2.388, -8.273, 0.817], [-2.706, -5.656, 7.155]], "species": ["Y", "Y", "Y", "Y", "Y", "Tb", "Tb", "Tb", "Er", "Tb", "Tb"], "frac_coords": [[0.313, 0.044, 0.321], [0.000, 0.500, 0.500], [0.649, 0.504, 0.223], [0.687, 0.956, 0.679], [0.351, 0.496, 0.777], [0.146, 0.489, 0.147], [0.228, 0.079, 0.652], [0.772, 0.921, 0.348], [0.000, 0.000, 0.000], [0.500, 0.000, 0.000], [0.854, 0.511, 0.853]]}

Record 8
{"formula": "NbCo2SbH", "functional": "GGA-PBE", "state": "optimized geometry", "energy_ev_per_fu": -31.8, "lattice": [[-3.608, -1.686, -0.217], [1.679, -3.457, -1.063], [0.256, -1.031, 3.757]], "species": ["Nb", "Co", "H", "Co", "Sb"], "frac_coords": [[0.000, 0.000, 0.500], [0.500, 0.000, 0.000], [0.000, 0.000, 0.000], [0.000, 0.500, 0.000], [0.500, 0.500, 0.500]]}

Record 9
{"formula": "Tb4As3Se", "functional": "GGA-PBE", "state": "optimized geometry", "e_form_raw_ev_per_atom": -1.652, "polymorph_energy_mev_per_atom": 0.0, "lattice": [[5.337, 0.005, -2.366], [-1.053, 5.232, -2.366], [-0.023, -0.028, 7.151]], "species": ["Se", "As", "As", "Tb", "Tb", "As", "Tb", "Tb"], "frac_coords": [[0.000, 0.000, 0.000], [0.250, 0.750, 0.500], [0.500, 0.500, 0.000], [0.000, 0.500, 0.000], [0.500, 0.000, 0.000], [0.750, 0.250, 0.500], [0.254, 0.254, 0.508], [0.746, 0.746, 0.492]]}

Record 10
{"formula": "CaGaSb2I", "functional": "GGA-PBE", "state": "optimized geometry", "e_form_raw_ev_per_atom": -0.070, "polymorph_energy_mev_per_atom": 0.0, "lattice": [[-4.785, -1.613, 1.449], [-0.992, -1.493, -4.938], [2.252, -5.574, 1.233]], "species": ["Ca", "Sb", "Ga", "Sb", "I"], "frac_coords": [[0.500, 0.500, 0.500], [0.000, 0.500, 0.000], [0.000, 0.000, 0.000], [0.500, 0.000, 0.000], [0.000, 0.000, 0.500]]}

Record 11
{"formula": "Mg2GeN3", "functional": "GGA-PBE", "state": "optimized geometry", "e_form_raw_ev_per_atom": -0.346, "lattice": [[3.040, 0.000, 0.000], [0.000, 4.980, 0.000], [-1.520, -2.490, 4.978]], "species": ["Mg", "N", "Mg", "N", "N", "Ge"], "frac_coords": [[0.164, 0.925, 0.329], [0.655, 0.624, 0.310], [0.836, 0.596, 0.671], [0.345, 0.314, 0.690], [0.000, 0.028, 0.000], [0.500, 0.256, 0.000]]}

Record 12
{"formula": "TbPr2Nd4Mg", "functional": "GGA-PBE", "state": "optimized geometry", "delta_e_f_ev_per_atom": 0.008, "lattice": [[5.090, 0.000, 0.000], [0.000, 4.977, 1.112], [0.000, 2.725, 11.185]], "species": ["Nd", "Nd", "Pr", "Nd", "Mg", "Pr", "Nd", "Tb"], "frac_coords": [[0.500, 0.248, 0.752], [0.000, 0.253, 0.247], [0.500, 0.000, 0.500], [0.500, 0.752, 0.248], [0.500, 0.500, 0.000], [0.000, 0.000, 0.000], [0.000, 0.747, 0.753], [0.000, 0.500, 0.500]]}

Record 13
{"formula": "CrSnHg2N", "functional": "GGA-PBE", "state": "optimized geometry", "e_form_raw_ev_per_atom": 1.088, "lattice": [[5.843, 0.000, 0.000], [0.000, 3.967, 0.000], [0.000, 0.000, 5.843]], "species": ["Hg", "Sn", "Hg", "Cr", "N"], "frac_coords": [[0.500, 0.000, 0.000], [0.000, 0.000, 0.000], [0.000, 0.000, 0.500], [0.500, 0.500, 0.500], [0.000, 0.500, 0.000]]}

Record 14
{"formula": "TbDy7Ho12", "functional": "GGA-PBE", "state": "optimized geometry", "delta_e_f_ev_per_atom": 0.300, "polymorph_energy_mev_per_atom": 0.0, "lattice": [[8.513, 0.745, 1.118], [-1.651, 8.384, 1.118], [-1.651, -2.197, 8.168]], "species": ["Ho", "Ho", "Ho", "Ho", "Dy", "Ho", "Ho", "Dy", "Ho", "Ho", "Ho", "Tb", "Ho", "Dy", "Ho", "Ho", "Dy", "Dy", "Dy", "Dy"], "frac_coords": [[0.480, 0.148, 0.416], [0.685, 0.814, 0.250], [0.814, 0.250, 0.685], [0.315, 0.186, 0.750], [0.021, 0.084, 0.353], [0.186, 0.750, 0.315], [0.148, 0.416, 0.480], [0.916, 0.647, 0.979], [0.520, 0.852, 0.584], [0.250, 0.685, 0.814], [0.584, 0.520, 0.852], [0.000, 0.000, 0.000], [0.852, 0.584, 0.520], [0.084, 0.353, 0.021], [0.416, 0.480, 0.148], [0.750, 0.315, 0.186], [0.353, 0.021, 0.084], [0.979, 0.916, 0.647], [0.500, 0.500, 0.500], [0.647, 0.979, 0.916]]}

Record 15
{"formula": "ZnW2Cl", "functional": "GGA-PBE", "state": "optimized geometry", "e_form_raw_ev_per_atom": 0.637, "polymorph_energy_mev_per_atom": 331.0, "lattice": [[-7.753, 2.565, 3.516], [-7.380, 0.112, 4.957], [-6.153, 2.529, 5.898]], "species": ["Cl", "W", "W", "Zn"], "frac_coords": [[0.750, 0.750, 0.750], [0.002, 0.002, 0.002], [0.498, 0.498, 0.498], [0.250, 0.250, 0.250]]}

Record 16
{"formula": "Cs2PaInS4", "functional": "GGA-PBE", "state": "optimized geometry", "e_form_raw_ev_per_atom": -1.047, "lattice": [[6.548, 0.000, 0.000], [3.274, 7.809, 0.000], [3.274, 0.000, 12.984]], "species": ["Cs", "S", "Cs", "S", "S", "Pa", "S", "In", "Cs", "S", "S", "Pa", "Cs", "S", "S", "In"], "frac_coords": [[0.571, 0.500, 0.857], [0.797, 0.704, 0.612], [0.179, 0.000, 0.643], [0.499, 0.704, 0.388], [0.160, 0.204, 0.888], [0.750, 0.500, 0.500], [0.953, 0.796, 0.888], [0.250, 0.500, 0.500], [0.929, 0.500, 0.143], [0.114, 0.296, 0.388], [0.636, 0.204, 0.112], [0.000, 0.000, 0.000], [0.821, 0.000, 0.357], [0.251, 0.796, 0.112], [0.590, 0.296, 0.612], [0.500, 0.000, 0.000]]}

Record 17
{"formula": "Tb3PmDy6", "functional": "GGA-PBE", "state": "optimized geometry", "delta_e_f_ev_per_atom": 0.148, "polymorph_energy_mev_per_atom": 0.0, "lattice": [[6.198, 0.000, 0.000], [0.000, 10.854, -1.596], [0.000, -3.978, 10.225]], "species": ["Dy", "Tb", "Dy", "Dy", "Tb", "Tb", "Dy", "Dy", "Dy", "Pm", "Pm", "Tb", "Dy", "Tb", "Dy", "Dy", "Dy", "Tb", "Dy", "Dy"], "frac_coords": [[0.535, 0.619, 0.711], [0.570, 0.610, 0.390], [0.035, 0.381, 0.289], [0.535, 0.289, 0.381], [0.459, 0.282, 0.062], [0.459, 0.938, 0.718], [0.411, 0.954, 0.046], [0.640, 0.282, 0.718], [0.140, 0.718, 0.282], [0.143, 0.205, 0.795], [0.643, 0.795, 0.205], [0.959, 0.062, 0.282], [0.867, 0.462, 0.042], [0.959, 0.718, 0.938], [0.367, 0.042, 0.462], [0.035, 0.711, 0.619], [0.367, 0.538, 0.958], [0.070, 0.390, 0.610], [0.867, 0.958, 0.538], [0.911, 0.046, 0.954]]}

Record 18
{"formula": "Ba2IrI", "functional": "GGA-PBE", "state": "optimized geometry", "e_form_raw_ev_per_atom": -0.647, "polymorph_energy_mev_per_atom": 72.0, "lattice": [[-0.377, 2.760, 2.805], [1.789, -2.389, 2.592], [7.725, 3.343, -2.250]], "species": ["I", "Ba", "Ir", "Ba"], "frac_coords": [[0.500, 0.500, 0.500], [0.000, 0.000, 0.204], [0.500, 0.500, 0.000], [0.000, 0.000, 0.796]]}

Record 19
{"formula": "Mg2Te3O9", "functional": "GGA-PBE", "state": "optimized geometry", "e_form_raw_ev_per_atom": -1.485, "lattice": [[7.221, 0.000, 0.000], [0.000, 9.493, 0.156], [0.000, -2.422, 10.511]], "species": ["O", "O", "O", "O", "Mg", "O", "O", "O", "O", "Mg", "O", "Te", "O", "O", "Te", "Te", "O", "Mg", "Te", "Te", "O", "Te", "O", "O", "Te", "Te", "O", "Te", "Mg", "Te", "O", "O", "O", "Mg", "O", "O", "O", "Mg", "O", "O", "O", "O", "O", "O", "O", "Te", "Mg", "O", "O", "O", "O", "O", "Mg", "O", "O", "Te"], "frac_coords": [[0.567, 0.143, 0.074], [0.116, 0.873, 0.459], [0.375, 0.120, 0.551], [0.345, 0.851, 0.179], [0.880, 0.977, 0.363], [0.884, 0.127, 0.541], [0.864, 0.920, 0.687], [0.384, 0.373, 0.959], [0.616, 0.627, 0.041], [0.121, 0.480, 0.865], [0.136, 0.080, 0.313], [0.114, 0.666, 0.440], [0.623, 0.070, 0.303], [0.916, 0.847, 0.188], [0.622, 0.671, 0.424], [0.386, 0.166, 0.940], [0.584, 0.347, 0.688], [0.380, 0.523, 0.137], [0.614, 0.834, 0.060], [0.869, 0.748, 0.750], [0.067, 0.357, 0.426], [0.369, 0.752, 0.750], [0.416, 0.653, 0.312], [0.364, 0.580, 0.813], [0.631, 0.248, 0.250], [0.878, 0.171, 0.924], [0.655, 0.149, 0.821], [0.122, 0.829, 0.076], [0.621, 0.020, 0.635], [0.378, 0.329, 0.576], [0.694, 0.348, 0.424], [0.933, 0.643, 0.574], [0.123, 0.430, 0.197], [0.120, 0.023, 0.637], [0.377, 0.930, 0.697], [0.433, 0.857, 0.926], [0.119, 0.797, 0.808], [0.879, 0.520, 0.135], [0.636, 0.420, 0.187], [0.845, 0.649, 0.321], [0.194, 0.152, 0.076], [0.619, 0.703, 0.692], [0.806, 0.848, 0.924], [0.875, 0.380, 0.949], [0.306, 0.652, 0.576], [0.886, 0.334, 0.560], [0.379, 0.980, 0.365], [0.881, 0.203, 0.192], [0.084, 0.153, 0.812], [0.125, 0.620, 0.051], [0.877, 0.570, 0.803], [0.155, 0.351, 0.679], [0.620, 0.477, 0.863], [0.625, 0.880, 0.449], [0.381, 0.297, 0.308], [0.131, 0.252, 0.250]]}

Record 20
{"formula": "TlFeRu2", "functional": "GGA-PBE", "state": "optimized geometry", "delta_e_f_ev_per_atom": 0.506, "polymorph_energy_mev_per_atom": 102.0, "lattice": [[-3.296, 2.800, -2.071], [-4.658, 0.387, -1.069], [-1.576, 2.472, 3.811]], "species": ["Fe", "Ru", "Ru", "Tl"], "frac_coords": [[0.259, 0.259, 0.216], [0.000, 0.000, 0.994], [0.741, 0.741, 0.799], [0.500, 0.500, 0.492]]}

DOS at the Fermi energy (states/eV/f.u.)
7.86; 19.33; 2.25; 1.57; 1.80; 4.38; 16.99; 3.29; 2.45; 3.06; 2.59; 11.09; 3.48; 17.26; 3.45; 0.47; 14.27; 2.03; 0.00; 4.87